Entry 1:
! Y2Er3Zn2 (PBE-GGA, relaxed); values from VASP
! E_tot	-30.06	eV for the cell shown
! E above lowest polymorph	0.0	meV/atom
&SYSTEM
  ibrav = 0, nat = 7, ntyp = 3
/
ATOMIC_SPECIES
Y 88.91 Y.upf
Er 167.26 Er.upf
Zn 65.41 Zn.upf
ATOMIC_POSITIONS crystal
Y 0.200 0.800 0.000
Y 0.800 0.200 0.000
Er 0.383 0.617 0.500
Er 0.500 0.500 0.500
Er 0.617 0.383 0.500
Zn 0.057 0.943 0.000
Zn 0.943 0.057 0.000
CELL_PARAMETERS angstrom
1.757 -15.285 0.000
1.757 15.285 0.000
0.000 0.000 3.491



Entry 2:
! YErZn2 (PBE-GGA, relaxed); values from VASP
! E_tot	-15.01	eV for the cell shown
! E above lowest polymorph	0.0	meV/atom
&SYSTEM
  ibrav = 0, nat = 4, ntyp = 3
/
ATOMIC_SPECIES
Y 88.91 Y.upf
Er 167.26 Er.upf
Zn 65.41 Zn.upf
ATOMIC_POSITIONS crystal
Y 0.000 0.000 0.000
Er 0.500 0.500 0.500
Zn 0.250 0.250 0.250
Zn 0.750 0.750 0.750
CELL_PARAMETERS angstrom
0.000 3.560 3.560
3.560 0.000 3.560
3.560 3.560 0.000



Entry 3:
! YErZn4 (PBE-GGA, relaxed); values from VASP
! E_tot	-18.44	eV for the cell shown
! E above lowest polymorph	0.0	meV/atom
&SYSTEM
  ibrav = 0, nat = 6, ntyp = 3
/
ATOMIC_SPECIES
Y 88.91 Y.upf
Er 167.26 Er.upf
Zn 65.41 Zn.upf
ATOMIC_POSITIONS crystal
Y 0.000 0.000 0.000
Er 0.500 0.000 0.500
Zn 0.085 0.333 0.751
Zn 0.418 0.667 0.751
Zn 0.582 0.333 0.249
Zn 0.915 0.667 0.249
CELL_PARAMETERS angstrom
-2.239 3.484 3.859
2.239 -3.484 3.859
2.239 3.484 -3.859



Entry 4:
! Y4ErZn (PBE-GGA, relaxed); values from VASP
! E_tot	-63.43	eV for the cell shown
! E above lowest polymorph	99.9	meV/atom
&SYSTEM
  ibrav = 0, nat = 12, ntyp = 3
/
ATOMIC_SPECIES
Y 88.91 Y.upf
Er 167.26 Er.upf
Zn 65.41 Zn.upf
ATOMIC_POSITIONS crystal
Y 0.080 0.714 0.949
Y 0.171 0.385 0.628
Y 0.286 0.920 0.551
Y 0.385 0.171 0.128
Y 0.615 0.829 0.872
Y 0.714 0.080 0.449
Y 0.829 0.615 0.372
Y 0.920 0.286 0.051
Er 0.401 0.599 0.250
Er 0.599 0.401 0.750
Zn 0.001 0.999 0.750
Zn 0.999 0.001 0.250
CELL_PARAMETERS angstrom
4.416 -6.797 0.000
4.416 6.797 0.000
-2.025 0.000 5.900



Entry 5:
! Y2ErZn3 (PBE-GGA, relaxed); values from VASP
! E_tot	-23.46	eV for the cell shown
&SYSTEM
  ibrav = 0, nat = 6, ntyp = 3
/
ATOMIC_SPECIES
Y 88.91 Y.upf
Er 167.26 Er.upf
Zn 65.41 Zn.upf
ATOMIC_POSITIONS crystal
Y 0.333 0.667 0.170
Y 0.667 0.333 0.830
Er 0.000 0.000 0.500
Zn 0.000 0.000 0.000
Zn 0.333 0.667 0.666
Zn 0.667 0.333 0.334
CELL_PARAMETERS angstrom
5.042 0.000 0.000
-2.521 4.367 0.000
0.000 0.000 6.187



Entry 6:
! Y2Er2Zn3 (PBE-GGA, relaxed); values from VASP
! E_tot	-27.32	eV for the cell shown
&SYSTEM
  ibrav = 0, nat = 7, ntyp = 3
/
ATOMIC_SPECIES
Y 88.91 Y.upf
Er 167.26 Er.upf
Zn 65.41 Zn.upf
ATOMIC_POSITIONS crystal
Y 0.126 0.126 0.379
Y 0.874 0.874 0.621
Er 0.377 0.377 0.132
Er 0.623 0.623 0.868
Zn 0.000 0.000 0.000
Zn 0.252 0.252 0.758
Zn 0.748 0.748 0.242
CELL_PARAMETERS angstrom
4.307 -2.495 0.000
4.307 2.495 0.000
-2.859 0.000 8.097



Look up the E_tot of the sixth one. -27.32 eV for the cell shown



Among the records above, which one has the highest E_tot? YErZn2



Number 2 is which compound? YErZn2



Which formula does entry 1 have? Y2Er3Zn2